# 1
Here is Dy3ZnNi after structural relaxation from Alexandria via LeMat-Bulk. Energies are from PBE-GGA.

- Calculated volume: 23.23 Å³/atom
- Space group: No. 12
- Magnetization: 0.0 μB/cell
- Calculated total energy: -44.42 eV per cell
- Energy above the lowest structure with this stoichiometry: 8 meV per atom

Cell: 5.5760 5.5760 9.1890 Å, 65.93 65.93 69.47°
Sites, in units of the cell vectors:
Dy 0.2998 0.2998 0.9013
Dy 0.7002 0.7002 0.0987
Dy 0.0815 0.0815 0.7089
Dy 0.9185 0.9185 0.2911
Dy 0.7099 0.7099 0.7062
Dy 0.2901 0.2901 0.2938
Zn 0.6936 0.3064 0.5000
Zn 0.3064 0.6936 0.5000
Ni 0.2512 0.7488 0.0000
Ni 0.7488 0.2512 0.0000

# 2
Here is Dy3ZnNi3 after structural relaxation from Alexandria via LeMat-Bulk. Energies are from PBE-GGA.

- Calculated volume: 22.38 Å³/atom
- Space group: No. 176
- Magnetization: 0.0 μB/cell
- Calculated total energy: -66.95 eV per cell
- Energy above the lowest structure with this stoichiometry: 309 meV per atom

Cell: 5.3800 8.2010 8.2010 Å, 120.00 90.00 90.00°
Sites, in units of the cell vectors:
Dy 0.7500 0.6975 0.6470
Dy 0.7500 0.3530 0.0505
Dy 0.7500 0.9495 0.3025
Dy 0.2500 0.3025 0.3530
Dy 0.2500 0.6470 0.9495
Dy 0.2500 0.0505 0.6975
Zn 0.2500 0.6667 0.3333
Zn 0.7500 0.3333 0.6667
Ni 0.2500 0.6801 0.6321
Ni 0.2500 0.3679 0.0480
Ni 0.2500 0.9520 0.3199
Ni 0.7500 0.3199 0.3679
Ni 0.7500 0.6321 0.9520
Ni 0.7500 0.0480 0.6801